This record from Alexandria describes a geometry-optimized LiNbFeO4 structure. The functional is PBE+U.

Results
calculated total energy: -7.516 eV per atom
total magnetization: 16.0 μB/cell
space-group type: C2, No. 5

Cell lengths 6.131, 6.131, 8.789 Å; angles 89.86, 90.14, 90.00 degrees
Last column: magnetic moment on the atom in μB.
Positions (direct):
Fe: 0.243 0.501 0.251  3.75
O: 0.003 0.250 0.747  0.02
O: 0.995 0.743 0.754  0.02
Fe: 0.757 0.499 0.750  3.77
O: 0.503 0.748 0.253  0.03
Fe: 0.501 0.243 0.999  3.75
O: 0.743 0.995 0.496  0.02
Li: 0.764 0.000 0.750  0.00
O: 0.996 0.251 0.253  0.02
O: 0.250 0.003 0.503  0.02
O: 0.498 0.749 0.747  0.03
Li: 0.001 0.237 0.000  0.00
O: 0.259 0.494 0.001  0.03
O: 0.257 0.506 0.499  0.03
O: 0.494 0.259 0.249  0.03
O: 0.506 0.257 0.751  0.03
O: 0.748 0.503 0.998  0.03
Li: 0.000 0.764 0.500  0.00
Nb: 0.751 0.751 0.125  0.07
Nb: 0.747 0.250 0.375  0.07
O: 0.005 0.744 0.246  0.02
Nb: 0.250 0.747 0.875  0.07
O: 0.749 0.498 0.503  0.03
Nb: 0.252 0.252 0.625  0.07
O: 0.744 0.005 0.004  0.02
Fe: 0.499 0.757 0.500  3.76
Li: 0.237 0.001 0.250  0.00
O: 0.251 0.996 0.996  0.02